No. 1
Density functional theory data (GGA-PBEsol) for MnAu2Cl after structural relaxation.

Values from the calculation:
formation energy without anion corrections	-8	meV/atom
SG	P4mm (99)

Unit cell a=2.965 b=2.965 c=8.209 alpha=90.00 beta=90.00 gamma=90.00
Positions (direct):
Mn1 0.000 0.000 0.000
Au1 0.000 0.000 0.459
Au2 0.500 0.500 0.221
Cl1 0.500 0.500 0.821


No. 2
Density functional theory data (GGA-PBEsol) for ReGeSb2I after structural relaxation.

Values from the calculation:
formation energy without anion corrections	885	meV/atom
SG	P4/mmm (123)

Unit cell a=5.011 b=5.011 c=5.726 alpha=90.00 beta=90.00 gamma=90.00
Positions (direct):
Re1 0.000 0.000 0.000
Ge1 0.500 0.500 0.500
Sb1 0.000 0.500 0.000
Sb2 0.500 0.000 0.000
I1 0.000 0.000 0.500


No. 3
Density functional theory data (GGA-PBEsol) for ScCSeBr2 after structural relaxation.

Values from the calculation:
formation energy without anion corrections	441	meV/atom
SG	P4/mmm (123)

Unit cell a=4.535 b=4.535 c=4.527 alpha=90.00 beta=90.00 gamma=90.00
Positions (direct):
Sc1 0.000 0.000 0.000
C1 0.500 0.500 0.500
Se1 0.500 0.500 0.000
Br1 0.000 0.500 0.500
Br2 0.500 0.000 0.500


No. 4
Density functional theory data (GGA-PBEsol) for TlTcIO2 after structural relaxation.

Values from the calculation:
formation energy without anion corrections	831	meV/atom
SG	P4/mmm (123)

Unit cell a=4.140 b=4.140 c=6.208 alpha=90.00 beta=90.00 gamma=90.00
Positions (direct):
Tl1 0.000 0.000 0.000
Tc1 0.500 0.500 0.500
I1 0.000 0.000 0.500
O1 0.000 0.500 0.000
O2 0.500 0.000 0.000


No. 5
Density functional theory data (GGA-PBEsol) for Ba5P5I3 after structural relaxation.

Values from the calculation:
formation energy without anion corrections	-1250	meV/atom
SG	C2/m (12)

Unit cell a=21.312 b=21.312 c=9.364 alpha=92.49 beta=92.49 gamma=12.17
Positions (direct):
Ba1 0.041 0.041 0.350
Ba2 0.059 0.059 0.795
Ba3 0.260 0.260 0.225
Ba4 0.342 0.342 0.949
Ba5 0.361 0.361 0.415
Ba6 0.639 0.639 0.585
Ba7 0.658 0.658 0.051
Ba8 0.740 0.740 0.775
Ba9 0.941 0.941 0.205
Ba10 0.959 0.959 0.650
P1 0.130 0.130 0.828
P2 0.180 0.180 0.782
P3 0.210 0.210 0.975
P4 0.436 0.436 0.441
P5 0.485 0.485 0.395
P6 0.515 0.515 0.605
P7 0.564 0.564 0.559
P8 0.790 0.790 0.025
P9 0.820 0.820 0.218
P10 0.870 0.870 0.172
I1 0.124 0.124 0.298
I2 0.290 0.290 0.605
I3 0.449 0.449 0.930
I4 0.551 0.551 0.070
I5 0.710 0.710 0.395
I6 0.876 0.876 0.702


No. 6
Density functional theory data (GGA-PBEsol) for Fe3Si after structural relaxation.

Values from the calculation:
formation energy without anion corrections	-287	meV/atom
SG	Immm (71)

Unit cell a=4.580 b=4.580 c=4.580 alpha=144.18 beta=130.59 gamma=62.52
Positions (direct):
Fe1 0.000 0.000 0.000
Fe2 0.251 0.751 0.500
Fe3 0.749 0.249 0.500
Si1 0.500 0.500 0.000


No. 7
Density functional theory data (GGA-PBEsol) for RbCuTc2 after structural relaxation.

Values from the calculation:
energy of formation	1.994	eV per atom
SG	Fm-3m (225)

Unit cell a=4.464 b=4.464 c=4.464 alpha=60.00 beta=60.00 gamma=60.00
Positions (direct):
Rb1 0.000 0.000 0.000
Cu1 0.500 0.500 0.500
Tc1 0.250 0.250 0.250
Tc2 0.750 0.750 0.750


No. 8
Density functional theory data (GGA-PBEsol) for Tl2TeBr after structural relaxation.

Values from the calculation:
formation energy without anion corrections	-267	meV/atom
distance to the lowest polymorph of the same formula	145	meV/atom
SG	P4mm (99)

Unit cell a=3.611 b=3.611 c=9.662 alpha=90.00 beta=90.00 gamma=90.00
Positions (direct):
Tl1 0.000 0.000 0.000
Tl2 0.500 0.500 0.293
Te1 0.500 0.500 0.787
Br1 0.000 0.000 0.464